(1)
La2I3Cl, relaxed, DFT PBE-GGA; E_form (uncorrected) = -876 kJ/mol of formula units; space-group type = C2/m, No. 12
1.0
4.5448 0.0000 0.9030
1.7512 8.5665 3.0747
-0.0174 -0.0213 11.9757
La I Cl
4 6 2
Cartesian
4.6606 4.0411 12.2089
3.1305 6.1307 8.0212
3.1482 2.4144 7.9322
1.6181 4.5040 3.7444
4.9689 7.1293 10.6570
0.4709 1.2243 9.5184
5.8078 7.3208 6.4350
1.3098 1.4158 5.2963
2.0963 2.3444 1.3378
4.1824 6.2008 14.6156
3.5695 4.3110 5.8117
2.7092 4.2342 10.1417

***

(2)
La2ICl, relaxed, DFT PBE-GGA; E_form (uncorrected) = -470 kJ/mol of formula units; energy relative to the lowest polymorph listed for this composition = 28 meV per atom; space-group type = R3m, No. 160
1.0
-1.2426 2.4181 2.7201
0.9427 -0.5973 3.6804
7.6078 5.8344 1.0076
I La Cl
1 2 1
Cartesian
7.3982 7.0417 5.2760
1.9723 2.0124 1.8308
5.5368 4.4299 1.3101
3.6623 3.8333 3.7028

***

(3)
La2ICl, relaxed, DFT PBE-GGA; E_form (uncorrected) = -403 kJ/mol of formula units; energy relative to the lowest polymorph listed for this composition = 200 meV per atom; space-group type = Fm-3m, No. 225
1.0
1.3307 -4.5010 -2.7305
-2.5569 -4.6724 1.0567
-3.4497 -2.0898 -3.6357
La Cl I
2 1 1
Cartesian
-3.5069 -8.4473 -3.9821
-1.1690 -2.8158 -1.3274
0.0000 0.0000 0.0000
-2.3379 -5.6316 -2.6547

***

(4)
LaICl, relaxed, DFT PBE-GGA; E_form (uncorrected) = -497 kJ/mol of formula units; energy relative to the lowest polymorph listed for this composition = 1 meV per atom; space-group type = Cm, No. 8
1.0
3.7822 0.0017 0.0108
0.0010 3.6589 -0.9649
0.0164 0.1333 7.9261
Cl I La
1 1 1
Cartesian
3.1456 2.0212 2.3815
3.1723 1.2597 6.9143
1.2597 3.4612 0.4196

***

Please write out number 1 again, unchanged.
La2I3Cl, relaxed, DFT PBE-GGA; E_form (uncorrected) = -876 kJ/mol of formula units; space-group type = C2/m, No. 12
1.0
4.5448 0.0000 0.9030
1.7512 8.5665 3.0747
-0.0174 -0.0213 11.9757
La I Cl
4 6 2
Cartesian
4.6606 4.0411 12.2089
3.1305 6.1307 8.0212
3.1482 2.4144 7.9322
1.6181 4.5040 3.7444
4.9689 7.1293 10.6570
0.4709 1.2243 9.5184
5.8078 7.3208 6.4350
1.3098 1.4158 5.2963
2.0963 2.3444 1.3378
4.1824 6.2008 14.6156
3.5695 4.3110 5.8117
2.7092 4.2342 10.1417

***

Please write out number 3 again, unchanged.
La2ICl, relaxed, DFT PBE-GGA; E_form (uncorrected) = -403 kJ/mol of formula units; energy relative to the lowest polymorph listed for this composition = 200 meV per atom; space-group type = Fm-3m, No. 225
1.0
1.3307 -4.5010 -2.7305
-2.5569 -4.6724 1.0567
-3.4497 -2.0898 -3.6357
La Cl I
2 1 1
Cartesian
-3.5069 -8.4473 -3.9821
-1.1690 -2.8158 -1.3274
0.0000 0.0000 0.0000
-2.3379 -5.6316 -2.6547

***

> What is the E_form (uncorrected) in the fourth record?

-497 kJ/mol of formula units